# 1
A geometry-optimized HgSO2 structure. Source: the Alexandria database, functional PBE.

M_tot in μB/f.u.: 0.0
Electronic total energy in Ry per atom: -0.273
ΔE_f (raw) in kJ per mole of atoms: -12.3
E above lowest polymorph in eV/atom: 0.000

Cell: 3.0266 3.0266 22.3956 Å, 90.00 90.00 120.00°
Space group R-3m (No. 166, hexagonal axes)
Symmetry-distinct sites (fractional):
Hg (0.0000, 0.0000, 0.0000) [3 per cell]
S (0.0000, 0.0000, 0.5000) [3 per cell]
O (0.0000, 0.0000, 0.4313) [6 per cell]

# 2
A geometry-optimized HgS2O structure. Source: the Alexandria database, functional PBE.

M_tot in μB/f.u.: 0.0
Electronic total energy in Ry per atom: -0.183
ΔE_f (raw) in kJ per mole of atoms: 85.4
E above lowest polymorph in eV/atom: 0.509

Cell: 2.9117 2.9117 27.2604 Å, 90.00 90.00 120.00°
Space group R-3m (No. 166, hexagonal axes)
Symmetry-distinct sites (fractional):
Hg (0.0000, 0.0000, 0.0000) [3 per cell]
S (0.0000, 0.0000, 0.1093) [6 per cell]
O (0.0000, 0.0000, 0.5000) [3 per cell]

# 3
A geometry-optimized HgSO4 structure. Source: the Alexandria database, functional PBE.

M_tot in μB/f.u.: 0.0
Electronic total energy in Ry per atom: -0.372
ΔE_f (raw) in kJ per mole of atoms: -97.6

Cell: 8.706 5.045 8.817 Å, 90.00 109.43 90.00°
Space group C2/c (No. 15)
Symmetry-distinct sites (fractional):
Hg (0.250, 0.250, 0.000) [4 per cell]
S (0.000, 0.122, 0.250) [4 per cell]
O (0.014, 0.274, 0.395) [8 per cell]
O (0.150, 0.059, 0.778) [8 per cell]

# 4
A geometry-optimized HgS2O structure. Source: the Alexandria database, functional PBE.

M_tot in μB/f.u.: 0.0
Electronic total energy in Ry per atom: -0.218
ΔE_f (raw) in kJ per mole of atoms: 39.4
E above lowest polymorph in eV/atom: 0.033

Cell: 3.4370 3.4370 23.9568 Å, 90.00 90.00 120.00°
Space group R-3m (No. 166, hexagonal axes)
Symmetry-distinct sites (fractional):
Hg (0.0000, 0.0000, 0.0000) [3 per cell]
S (0.0000, 0.0000, 0.4326) [6 per cell]
O (0.0000, 0.0000, 0.5000) [3 per cell]